# 1
# Zn4Ga3Tc2 (GGA-PBE, optimized geometry)
data_Zn4Ga3Tc2
_cell_length_a 5.0809
_cell_length_b 5.0809
_cell_length_c 8.5297
_cell_angle_alpha 110.69
_cell_angle_beta 110.69
_cell_angle_gamma 40.23
_space_group_name_H-M_alt 'P 1'
_space_group_IT_number 1
loop_
_space_group_symop_operation_xyz
'x,y,z'
loop_
_atom_site_label
_atom_site_fract_x
_atom_site_fract_y
_atom_site_fract_z
_atom_site_occupancy
Zn1 0.0183 0.0183 0.1767 1
Zn2 0.3237 0.3237 0.6080 1
Zn3 0.6763 0.6763 0.3920 1
Zn4 0.9817 0.9817 0.8233 1
Ga1 0.0000 0.0000 0.5000 1
Ga2 0.3282 0.3282 0.9474 1
Ga3 0.6718 0.6718 0.0526 1
Tc1 0.3459 0.3459 0.2761 1
Tc2 0.6541 0.6541 0.7239 1
# V in Å³ per atom: 14.6
# Space-group type: C2/m, No. 12
# ΔH_f (0 K) in eV per atom: -0.09

---

# 2
# Pu3P4Rh2 (GGA-PBE, optimized geometry)
data_Pu3P4Rh2
_cell_length_a 6.2868
_cell_length_b 6.2868
_cell_length_c 8.2930
_cell_angle_alpha 119.96
_cell_angle_beta 119.96
_cell_angle_gamma 37.08
_space_group_name_H-M_alt 'P 1'
_space_group_IT_number 1
loop_
_space_group_symop_operation_xyz
'x,y,z'
loop_
_atom_site_label
_atom_site_fract_x
_atom_site_fract_y
_atom_site_fract_z
_atom_site_occupancy
Pu1 0.0000 0.0000 0.0000 1
Pu2 0.3711 0.3711 0.2827 1
Pu3 0.6289 0.6289 0.7173 1
P1 0.0845 0.0845 0.3882 1
P2 0.3173 0.3173 0.9109 1
P3 0.6827 0.6827 0.0891 1
P4 0.9155 0.9155 0.6118 1
Rh1 0.3200 0.3200 0.6319 1
Rh2 0.6800 0.6800 0.3681 1
# V in Å³ per atom: 18.7
# Space-group type: C2/m, No. 12
# ΔH_f (0 K) in eV per atom: -0.99

---

# 3
# CaCrSCl2 (GGA-PBE, optimized geometry)
data_CaCrSCl2
_cell_length_a 5.1317
_cell_length_b 5.1317
_cell_length_c 5.5301
_cell_angle_alpha 90.00
_cell_angle_beta 90.00
_cell_angle_gamma 90.00
_space_group_name_H-M_alt 'P 1'
_space_group_IT_number 1
loop_
_space_group_symop_operation_xyz
'x,y,z'
loop_
_atom_site_label
_atom_site_fract_x
_atom_site_fract_y
_atom_site_fract_z
_atom_site_occupancy
Ca1 0.0000 0.0000 0.0000 1
Cr1 0.5000 0.5000 0.5000 1
S1 0.0000 0.0000 0.5000 1
Cl1 0.0000 0.5000 0.0000 1
Cl2 0.5000 0.0000 0.0000 1
# V in Å³ per atom: 29.1
# E_form (uncorrected) in meV per atom: -606
# Space-group type: P4/mmm, No. 123
# Energy relative to the lowest polymorph listed for this composition in meV per atom: 570

---

# 4
# EuErLuCd (GGA-PBE, optimized geometry)
data_EuErLuCd
_cell_length_a 5.4937
_cell_length_b 5.4937
_cell_length_c 5.4937
_cell_angle_alpha 60.00
_cell_angle_beta 60.00
_cell_angle_gamma 60.00
_space_group_name_H-M_alt 'P 1'
_space_group_IT_number 1
loop_
_space_group_symop_operation_xyz
'x,y,z'
loop_
_atom_site_label
_atom_site_fract_x
_atom_site_fract_y
_atom_site_fract_z
_atom_site_occupancy
Eu1 0.0000 0.0000 0.0000 1
Er1 0.5000 0.5000 0.5000 1
Lu1 0.7500 0.7500 0.7500 1
Cd1 0.2500 0.2500 0.2500 1
# V in Å³ per atom: 29.3
# Space-group type: F-43m, No. 216
# ΔH_f (0 K) in eV per atom: 0.00

---

# 5
# MnNbV4 (GGA-PBE, optimized geometry)
data_MnNbV4
_cell_length_a 4.9645
_cell_length_b 4.9645
_cell_length_c 4.9645
_cell_angle_alpha 60.00
_cell_angle_beta 60.00
_cell_angle_gamma 60.00
_space_group_name_H-M_alt 'P 1'
_space_group_IT_number 1
loop_
_space_group_symop_operation_xyz
'x,y,z'
loop_
_atom_site_label
_atom_site_fract_x
_atom_site_fract_y
_atom_site_fract_z
_atom_site_occupancy
Mn1 0.0000 0.0000 0.0000 1
Nb1 0.2500 0.2500 0.2500 1
V1 0.1254 0.6249 0.6249 1
V2 0.6249 0.1254 0.6249 1
V3 0.6249 0.6249 0.1254 1
V4 0.6249 0.6249 0.6249 1
# V in Å³ per atom: 14.4
# Space-group type: F-43m, No. 216
# ΔH_f (0 K) in eV per atom: 0.10

---

# 6
# ScTl2Zn2 (GGA-PBE, optimized geometry)
data_ScTl2Zn2
_cell_length_a 8.0858
_cell_length_b 8.0858
_cell_length_c 3.4451
_cell_angle_alpha 90.00
_cell_angle_beta 90.00
_cell_angle_gamma 90.00
_space_group_name_H-M_alt 'P 1'
_space_group_IT_number 1
loop_
_space_group_symop_operation_xyz
'x,y,z'
loop_
_atom_site_label
_atom_site_fract_x
_atom_site_fract_y
_atom_site_fract_z
_atom_site_occupancy
Sc1 0.0000 0.0000 0.0000 1
Sc2 0.5000 0.5000 0.0000 1
Tl1 0.1423 0.3577 0.0000 1
Tl2 0.3577 0.8577 0.0000 1
Tl3 0.6423 0.1423 0.0000 1
Tl4 0.8577 0.6423 0.0000 1
Zn1 0.1600 0.6600 0.5000 1
Zn2 0.3400 0.1600 0.5000 1
Zn3 0.6600 0.8400 0.5000 1
Zn4 0.8400 0.3400 0.5000 1
# V in Å³ per atom: 22.5
# Space-group type: P4/mbm, No. 127
# ΔH_f (0 K) in eV per atom: 0.14
# Energy relative to the lowest polymorph listed for this composition in meV per atom: 109

---

# 7
# AcCeYZn (GGA-PBE, optimized geometry)
data_AcCeYZn
_cell_length_a 5.5352
_cell_length_b 5.5352
_cell_length_c 5.5352
_cell_angle_alpha 60.00
_cell_angle_beta 60.00
_cell_angle_gamma 60.00
_space_group_name_H-M_alt 'P 1'
_space_group_IT_number 1
loop_
_space_group_symop_operation_xyz
'x,y,z'
loop_
_atom_site_label
_atom_site_fract_x
_atom_site_fract_y
_atom_site_fract_z
_atom_site_occupancy
Ac1 0.0000 0.0000 0.0000 1
Ce1 0.7500 0.7500 0.7500 1
Y1 0.2500 0.2500 0.2500 1
Zn1 0.5000 0.5000 0.5000 1
# V in Å³ per atom: 30.0
# Space-group type: F-43m, No. 216
# ΔH_f (0 K) in eV per atom: 0.20

---

# 8
# V2CoTeCl (GGA-PBE, optimized geometry)
data_V2CoTeCl
_cell_length_a 4.4721
_cell_length_b 4.4721
_cell_length_c 4.1008
_cell_angle_alpha 90.00
_cell_angle_beta 90.00
_cell_angle_gamma 90.00
_space_group_name_H-M_alt 'P 1'
_space_group_IT_number 1
loop_
_space_group_symop_operation_xyz
'x,y,z'
loop_
_atom_site_label
_atom_site_fract_x
_atom_site_fract_y
_atom_site_fract_z
_atom_site_occupancy
V1 0.0000 0.5000 0.0000 1
V2 0.5000 0.0000 0.0000 1
Co1 0.0000 0.0000 0.5000 1
Te1 0.5000 0.5000 0.5000 1
Cl1 0.0000 0.0000 0.0000 1
# V in Å³ per atom: 16.4
# E_form (uncorrected) in meV per atom: 550
# Space-group type: P4/mmm, No. 123

---

# 9
# Sb2IF15 (GGA-PBE, optimized geometry)
data_Sb2IF15
_cell_length_a 8.7234
_cell_length_b 15.0472
_cell_length_c 10.1524
_cell_angle_alpha 90.00
_cell_angle_beta 112.48
_cell_angle_gamma 90.00
_space_group_name_H-M_alt 'P 1'
_space_group_IT_number 1
loop_
_space_group_symop_operation_xyz
'x,y,z'
loop_
_atom_site_label
_atom_site_fract_x
_atom_site_fract_y
_atom_site_fract_z
_atom_site_occupancy
Sb1 0.0950 0.2462 0.1143 1
Sb2 0.0950 0.2538 0.6143 1
Sb3 0.2020 0.5472 0.3603 1
Sb4 0.2020 0.9528 0.8603 1
Sb5 0.7980 0.0472 0.1397 1
Sb6 0.7980 0.4528 0.6397 1
Sb7 0.9050 0.7462 0.3857 1
Sb8 0.9050 0.7538 0.8857 1
I1 0.3037 0.6096 0.8030 1
I2 0.3037 0.8904 0.3030 1
I3 0.6963 0.1096 0.6970 1
I4 0.6963 0.3904 0.1970 1
F1 0.0087 0.6350 0.3288 1
F2 0.0087 0.8650 0.8288 1
F3 0.0347 0.0402 0.8344 1
F4 0.0347 0.4598 0.3344 1
F5 0.0582 0.7197 0.5738 1
F6 0.0582 0.7803 0.0738 1
F7 0.0898 0.6907 0.8628 1
F8 0.0898 0.8093 0.3628 1
F9 0.1490 0.5574 0.1626 1
F10 0.1490 0.9426 0.6626 1
F11 0.1777 0.1499 0.5639 1
F12 0.1777 0.3501 0.0639 1
F13 0.2158 0.2431 0.8128 1
F14 0.2158 0.2569 0.3128 1
F15 0.2269 0.5483 0.5615 1
F16 0.2269 0.9517 0.0615 1
F17 0.2523 0.1648 0.0984 1
F18 0.2523 0.3352 0.5984 1
F19 0.2629 0.5097 0.9005 1
F20 0.2629 0.9903 0.4005 1
F21 0.3397 0.6486 0.4019 1
F22 0.3397 0.8514 0.9019 1
F23 0.3685 0.0394 0.8940 1
F24 0.3685 0.4606 0.3940 1
F25 0.4116 0.7024 0.7443 1
F26 0.4116 0.7976 0.2443 1
F27 0.4183 0.6539 0.9840 1
F28 0.4183 0.8461 0.4840 1
F29 0.4853 0.5429 0.8124 1
F30 0.4853 0.9571 0.3124 1
F31 0.5147 0.0429 0.6876 1
F32 0.5147 0.4571 0.1876 1
F33 0.5817 0.1539 0.5160 1
F34 0.5817 0.3461 0.0160 1
F35 0.5884 0.2024 0.7557 1
F36 0.5884 0.2976 0.2557 1
F37 0.6315 0.5394 0.6060 1
F38 0.6315 0.9606 0.1060 1
F39 0.6603 0.1486 0.0981 1
F40 0.6603 0.3514 0.5981 1
F41 0.7371 0.0097 0.5995 1
F42 0.7371 0.4903 0.0995 1
F43 0.7477 0.6648 0.4016 1
F44 0.7477 0.8352 0.9016 1
F45 0.7731 0.0483 0.9385 1
F46 0.7731 0.4517 0.4385 1
F47 0.7842 0.7431 0.6872 1
F48 0.7842 0.7569 0.1872 1
F49 0.8223 0.6499 0.9361 1
F50 0.8223 0.8501 0.4361 1
F51 0.8510 0.0574 0.3374 1
F52 0.8510 0.4426 0.8374 1
F53 0.9102 0.1907 0.6372 1
F54 0.9102 0.3093 0.1372 1
F55 0.9418 0.2197 0.9262 1
F56 0.9418 0.2803 0.4262 1
F57 0.9653 0.5402 0.6656 1
F58 0.9653 0.9598 0.1656 1
F59 0.9913 0.1350 0.1712 1
F60 0.9913 0.3650 0.6712 1
# V in Å³ per atom: 17.1
# E_form (uncorrected) in meV per atom: -2032
# Space-group type: P2_1/c, No. 14

---

# 10
# InPt2W (GGA-PBE, optimized geometry)
data_InPt2W
_cell_length_a 5.0037
_cell_length_b 5.0037
_cell_length_c 2.8411
_cell_angle_alpha 90.00
_cell_angle_beta 90.00
_cell_angle_gamma 110.47
_space_group_name_H-M_alt 'P 1'
_space_group_IT_number 1
loop_
_space_group_symop_operation_xyz
'x,y,z'
loop_
_atom_site_label
_atom_site_fract_x
_atom_site_fract_y
_atom_site_fract_z
_atom_site_occupancy
In1 0.0000 0.0000 0.0000 1
Pt1 0.0000 0.5000 0.5000 1
Pt2 0.5000 0.0000 0.5000 1
W1 0.5000 0.5000 0.0000 1
# V in Å³ per atom: 16.7
# Space-group type: Cmmm, No. 65
# ΔH_f (0 K) in eV per atom: -0.06

---

# 11
# RbInCuSe3 (GGA-PBE, optimized geometry)
data_RbInCuSe3
_cell_length_a 9.3981
_cell_length_b 4.0193
_cell_length_c 9.7921
_cell_angle_alpha 90.00
_cell_angle_beta 108.31
_cell_angle_gamma 90.00
_space_group_name_H-M_alt 'P 1'
_space_group_IT_number 1
loop_
_space_group_symop_operation_xyz
'x,y,z'
loop_
_atom_site_label
_atom_site_fract_x
_atom_site_fract_y
_atom_site_fract_z
_atom_site_occupancy
Rb1 0.1987 0.2500 0.2401 1
Rb2 0.8013 0.7500 0.7599 1
In1 0.3399 0.7500 0.8751 1
In2 0.6601 0.2500 0.1249 1
Cu1 0.0704 0.2500 0.5934 1
Cu2 0.9296 0.7500 0.4066 1
Se1 0.1312 0.2500 0.8567 1
Se2 0.1927 0.7500 0.5446 1
Se3 0.4728 0.7500 0.1669 1
Se4 0.5272 0.2500 0.8331 1
Se5 0.8073 0.2500 0.4554 1
Se6 0.8688 0.7500 0.1433 1
# V in Å³ per atom: 29.3
# E_form (uncorrected) in meV per atom: -585
# Space-group type: P2_1/m, No. 11

---

# 12
# AgAs4Se (GGA-PBE, optimized geometry)
data_AgAs4Se
_cell_length_a 5.7260
_cell_length_b 5.7260
_cell_length_c 5.7260
_cell_angle_alpha 60.00
_cell_angle_beta 60.00
_cell_angle_gamma 60.00
_space_group_name_H-M_alt 'P 1'
_space_group_IT_number 1
loop_
_space_group_symop_operation_xyz
'x,y,z'
loop_
_atom_site_label
_atom_site_fract_x
_atom_site_fract_y
_atom_site_fract_z
_atom_site_occupancy
Ag1 0.0000 0.0000 0.0000 1
As1 0.1635 0.6122 0.6122 1
As2 0.6122 0.1635 0.6122 1
As3 0.6122 0.6122 0.1635 1
As4 0.6122 0.6122 0.6122 1
Se1 0.2500 0.2500 0.2500 1
# V in Å³ per atom: 22.1
# E_form (uncorrected) in meV per atom: 490
# Space-group type: F-43m, No. 216

---

> Look up the V of the twelfth one.

22.1 Å³ per atom